AcInHg2Pd2 | PBE | relaxed

Formation energy ... -0.256 eV/atom

Structure (CIF):
```
data_AcInHg2Pd2
_cell_length_a 5.426
_cell_length_b 5.426
_cell_length_c 11.003
_cell_angle_alpha 90.00
_cell_angle_beta 90.00
_cell_angle_gamma 90.00
_symmetry_space_group_name_H-M 'I 4/m m m'
_symmetry_Int_Tables_number 139
_symmetry_space_group_name_Hall '-I 4 2'
loop_
_atom_site_label
_atom_site_type_symbol
_atom_site_fract_x
_atom_site_fract_y
_atom_site_fract_z
Ac1 Ac 0.000 0.000 0.000
In1 In 0.000 0.000 0.500
Hg1 Hg 0.000 0.500 0.250
Pd1 Pd 0.000 0.000 0.262
```

=====

Ac3In2HgPd6 | PBE | relaxed

Formation energy ... -0.635 eV/atom

Structure (CIF):
```
data_Ac3In2HgPd6
_cell_length_a 5.9761
_cell_length_b 5.9761
_cell_length_c 9.2242
_cell_angle_alpha 90.00
_cell_angle_beta 90.00
_cell_angle_gamma 120.00
_symmetry_space_group_name_H-M 'P -3 m 1'
_symmetry_Int_Tables_number 164
_symmetry_space_group_name_Hall '-P 3 2"'
loop_
_atom_site_label
_atom_site_type_symbol
_atom_site_fract_x
_atom_site_fract_y
_atom_site_fract_z
Ac1 Ac 0.0000 0.0000 0.0000
Ac2 Ac 0.3333 0.6667 0.6255
In1 In 0.3333 0.6667 0.0185
Hg1 Hg 0.0000 0.0000 0.5000
Pd1 Pd 0.1760 0.3520 0.2736
```

=====

Ac4InHg2Pd | PBE | relaxed

Formation energy ... -0.519 eV/atom

Structure (CIF):
```
data_Ac4InHg2Pd
_cell_length_a 5.6841
_cell_length_b 5.6841
_cell_length_c 27.4257
_cell_angle_alpha 90.00
_cell_angle_beta 90.00
_cell_angle_gamma 120.00
_symmetry_space_group_name_H-M 'R -3 m'
_symmetry_Int_Tables_number 166
_symmetry_space_group_name_Hall '-R 3 2"'
loop_
_atom_site_label
_atom_site_type_symbol
_atom_site_fract_x
_atom_site_fract_y
_atom_site_fract_z
Ac1 Ac 0.0000 0.0000 0.1165
Ac2 Ac 0.0000 0.0000 0.3690
In1 In 0.0000 0.0000 0.5000
Hg1 Hg 0.0000 0.0000 0.2423
Pd1 Pd 0.0000 0.0000 0.0000
```

=====

Ac3Pm3In2Hg | PBE | relaxed

Formation energy ... -0.272 eV/atom

Structure (CIF):
```
data_Ac3Pm3In2Hg
_cell_length_a 9.4701
_cell_length_b 9.4701
_cell_length_c 3.9504
_cell_angle_alpha 90.00
_cell_angle_beta 90.00
_cell_angle_gamma 120.00
_symmetry_space_group_name_H-M 'P -6 2 m'
_symmetry_Int_Tables_number 189
_symmetry_space_group_name_Hall 'P -6 -2'
loop_
_atom_site_label
_atom_site_type_symbol
_atom_site_fract_x
_atom_site_fract_y
_atom_site_fract_z
Ac1 Ac 0.0000 0.7235 0.0000
Pm1 Pm 0.0000 0.3955 0.5000
In1 In 0.3333 0.6667 0.0000
Hg1 Hg 0.0000 0.0000 0.5000
```

=====

Ac3Pr3In2Hg | PBE | relaxed

Formation energy ... -0.288 eV/atom

Structure (CIF):
```
data_Ac3Pr3In2Hg
_cell_length_a 9.5162
_cell_length_b 9.5162
_cell_length_c 3.9865
_cell_angle_alpha 90.00
_cell_angle_beta 90.00
_cell_angle_gamma 120.00
_symmetry_space_group_name_H-M 'P -6 2 m'
_symmetry_Int_Tables_number 189
_symmetry_space_group_name_Hall 'P -6 -2'
loop_
_atom_site_label
_atom_site_type_symbol
_atom_site_fract_x
_atom_site_fract_y
_atom_site_fract_z
Ac1 Ac 0.0000 0.7251 0.0000
Pr1 Pr 0.0000 0.3969 0.5000
In1 In 0.3333 0.6667 0.0000
Hg1 Hg 0.0000 0.0000 0.5000
```

=====

AcPrInHg | PBE | relaxed

Formation energy ... -0.456 eV/atom

Structure (CIF):
```
data_AcPrInHg
_cell_length_a 3.947
_cell_length_b 3.947
_cell_length_c 8.101
_cell_angle_alpha 90.00
_cell_angle_beta 90.00
_cell_angle_gamma 90.00
_symmetry_space_group_name_H-M 'P 4 m m'
_symmetry_Int_Tables_number 99
loop_
_symmetry_equiv_pos_as_xyz
'x,y,z'
'-y,x,z'
'-x,-y,z'
'y,-x,z'
'-x,y,z'
'y,x,z'
'x,-y,z'
'-y,-x,z'
loop_
_atom_site_label
_atom_site_type_symbol
_atom_site_fract_x
_atom_site_fract_y
_atom_site_fract_z
Ac1 Ac 0.000 0.000 0.000
Pr1 Pr 0.000 0.000 0.508
In1 In 0.500 0.500 0.270
Hg1 Hg 0.500 0.500 0.731
```

=====

AcPrInHg | PBE | relaxed

Formation energy ... -0.437 eV/atom

Structure (CIF):
```
data_AcPrInHg
_cell_length_a 7.991
_cell_length_b 7.991
_cell_length_c 7.991
_cell_angle_alpha 90.00
_cell_angle_beta 90.00
_cell_angle_gamma 90.00
_symmetry_space_group_name_H-M 'F -4 3 m'
_symmetry_Int_Tables_number 216
_symmetry_space_group_name_Hall 'F -4 2 3'
loop_
_atom_site_label
_atom_site_type_symbol
_atom_site_fract_x
_atom_site_fract_y
_atom_site_fract_z
Ac1 Ac 0.000 0.000 0.000
Pr1 Pr 0.000 0.000 0.500
In1 In 0.250 0.250 0.750
Hg1 Hg 0.250 0.250 0.250
```

=====

Ac3Pr3InHg2 | PBE | relaxed

Formation energy ... -0.231 eV/atom

Structure (CIF):
```
data_Ac3Pr3InHg2
_cell_length_a 9.3982
_cell_length_b 9.3982
_cell_length_c 4.0516
_cell_angle_alpha 90.00
_cell_angle_beta 90.00
_cell_angle_gamma 120.00
_symmetry_space_group_name_H-M 'P -6 2 m'
_symmetry_Int_Tables_number 189
_symmetry_space_group_name_Hall 'P -6 -2'
loop_
_atom_site_label
_atom_site_type_symbol
_atom_site_fract_x
_atom_site_fract_y
_atom_site_fract_z
Ac1 Ac 0.0000 0.2873 0.0000
Pr1 Pr 0.0000 0.6136 0.5000
In1 In 0.0000 0.0000 0.5000
Hg1 Hg 0.3333 0.6667 0.0000
```

=====

Ac2InHgPt | PBE | relaxed

Formation energy ... -0.738 eV/atom

Structure (CIF):
```
data_Ac2InHgPt
_cell_length_a 8.082
_cell_length_b 4.708
_cell_length_c 8.427
_cell_angle_alpha 90.00
_cell_angle_beta 111.84
_cell_angle_gamma 90.00
_symmetry_space_group_name_H-M 'P 1 21/m 1'
_symmetry_Int_Tables_number 11
loop_
_symmetry_equiv_pos_as_xyz
'x,y,z'
'-x,-y,-z'
'-x,y+1/2,-z'
'x,-y+1/2,z'
loop_
_atom_site_label
_atom_site_type_symbol
_atom_site_fract_x
_atom_site_fract_y
_atom_site_fract_z
Ac1 Ac 0.029 0.250 0.210
Ac2 Ac 0.342 0.750 0.609
In1 In 0.345 0.250 0.949
Hg1 Hg 0.329 0.750 0.186
Pt1 Pt 0.092 0.250 0.610
```

=====

AcPuInHg | PBE | relaxed

Formation energy ... -0.236 eV/atom

Structure (CIF):
```
data_AcPuInHg
_cell_length_a 7.895
_cell_length_b 7.895
_cell_length_c 7.895
_cell_angle_alpha 90.00
_cell_angle_beta 90.00
_cell_angle_gamma 90.00
_symmetry_space_group_name_H-M 'F -4 3 m'
_symmetry_Int_Tables_number 216
_symmetry_space_group_name_Hall 'F -4 2 3'
loop_
_atom_site_label
_atom_site_type_symbol
_atom_site_fract_x
_atom_site_fract_y
_atom_site_fract_z
Ac1 Ac 0.000 0.000 0.000
Pu1 Pu 0.000 0.000 0.500
In1 In 0.250 0.250 0.750
Hg1 Hg 0.250 0.250 0.250
```

=====

Ac2InHgRh | PBE | relaxed

Formation energy ... -0.585 eV/atom

Structure (CIF):
```
data_Ac2InHgRh
_cell_length_a 8.471
_cell_length_b 4.405
_cell_length_c 8.622
_cell_angle_alpha 90.00
_cell_angle_beta 112.80
_cell_angle_gamma 90.00
_symmetry_space_group_name_H-M 'P 1 21/m 1'
_symmetry_Int_Tables_number 11
loop_
_symmetry_equiv_pos_as_xyz
'x,y,z'
'-x,-y,-z'
'-x,y+1/2,-z'
'x,-y+1/2,z'
loop_
_atom_site_label
_atom_site_type_symbol
_atom_site_fract_x
_atom_site_fract_y
_atom_site_fract_z
Ac1 Ac 0.017 0.250 0.221
Ac2 Ac 0.345 0.750 0.612
In1 In 0.353 0.250 0.947
Hg1 Hg 0.315 0.750 0.192
Rh1 Rh 0.109 0.250 0.620
```

=====

Ac2In2HgRh5 | PBE | relaxed

Formation energy ... -0.303 eV/atom

Structure (CIF):
```
data_Ac2In2HgRh5
_cell_length_a 10.571
_cell_length_b 10.571
_cell_length_c 3.776
_cell_angle_alpha 90.00
_cell_angle_beta 90.00
_cell_angle_gamma 90.00
_symmetry_space_group_name_H-M 'P 4/m b m'
_symmetry_Int_Tables_number 127
_symmetry_space_group_name_Hall '-P 4 2ab'
loop_
_atom_site_label
_atom_site_type_symbol
_atom_site_fract_x
_atom_site_fract_y
_atom_site_fract_z
Ac1 Ac 0.175 0.325 0.000
In1 In 0.124 0.624 0.000
Hg1 Hg 0.000 0.000 0.000
Rh1 Rh 0.000 0.500 0.500
Rh2 Rh 0.056 0.796 0.500
```

=====

AcInHgRh | PBE | relaxed

Formation energy ... -0.308 eV/atom

Structure (CIF):
```
data_AcInHgRh
_cell_length_a 7.350
_cell_length_b 7.350
_cell_length_c 7.350
_cell_angle_alpha 90.00
_cell_angle_beta 90.00
_cell_angle_gamma 90.00
_symmetry_space_group_name_H-M 'F -4 3 m'
_symmetry_Int_Tables_number 216
_symmetry_space_group_name_Hall 'F -4 2 3'
loop_
_atom_site_label
_atom_site_type_symbol
_atom_site_fract_x
_atom_site_fract_y
_atom_site_fract_z
Ac1 Ac 0.000 0.000 0.000
In1 In 0.000 0.000 0.500
Hg1 Hg 0.250 0.250 0.250
Rh1 Rh 0.250 0.250 0.750
```

=====

Ac2ScIn4Hg3 | PBE | relaxed

Formation energy ... -0.354 eV/atom

Structure (CIF):
```
data_Ac2ScIn4Hg3
_cell_length_a 4.702
_cell_length_b 4.702
_cell_length_c 12.720
_cell_angle_alpha 90.00
_cell_angle_beta 90.00
_cell_angle_gamma 90.00
_symmetry_space_group_name_H-M 'P -4 m 2'
_symmetry_Int_Tables_number 115
loop_
_symmetry_equiv_pos_as_xyz
'x,y,z'
'y,-x,-z'
'-x,-y,z'
'-y,x,-z'
'-x,y,z'
'-y,-x,-z'
'x,-y,z'
'y,x,-z'
loop_
_atom_site_label
_atom_site_type_symbol
_atom_site_fract_x
_atom_site_fract_y
_atom_site_fract_z
Ac1 Ac 0.000 0.500 0.246
Sc1 Sc 0.000 0.000 0.500
In1 In 0.000 0.000 0.000
In2 In 0.000 0.500 0.640
In3 In 0.500 0.500 0.000
Hg1 Hg 0.000 0.500 0.859
Hg2 Hg 0.500 0.500 0.500
```

=====

Ac2ScInHg6 | PBE | relaxed

Formation energy ... -0.114 eV/atom

Structure (CIF):
```
data_Ac2ScInHg6
_cell_length_a 10.811
_cell_length_b 10.811
_cell_length_c 10.811
_cell_angle_alpha 90.00
_cell_angle_beta 90.00
_cell_angle_gamma 90.00
_symmetry_space_group_name_H-M 'F m -3 m'
_symmetry_Int_Tables_number 225
_symmetry_space_group_name_Hall '-F 4 2 3'
loop_
_atom_site_label
_atom_site_type_symbol
_atom_site_fract_x
_atom_site_fract_y
_atom_site_fract_z
Ac1 Ac 0.250 0.250 0.250
Sc1 Sc 0.000 0.000 0.000
In1 In 0.000 0.000 0.500
Hg1 Hg 0.000 0.000 0.247
```

=====

AcInHgSe | PBE | relaxed

Final energy ... -3.550 eV per atom

Structure (CIF):
```
data_AcInHgSe
_cell_length_a 5.170
_cell_length_b 5.170
_cell_length_c 9.238
_cell_angle_alpha 90.00
_cell_angle_beta 90.00
_cell_angle_gamma 90.00
_symmetry_space_group_name_H-M 'P 4/n m m'
_symmetry_Int_Tables_number 129
loop_
_symmetry_equiv_pos_as_xyz
'x,y,z'
'-x,-y,-z'
'-y+1/2,x,z'
'y+1/2,-x,-z'
'-x+1/2,-y+1/2,z'
'x+1/2,y+1/2,-z'
'y,-x+1/2,z'
'-y,x+1/2,-z'
'x+1/2,-y,-z'
'-x+1/2,y,z'
'-y,-x,-z'
'y,x,z'
'-x,y+1/2,-z'
'x,-y+1/2,z'
'y+1/2,x+1/2,-z'
'-y+1/2,-x+1/2,z'
loop_
_atom_site_label
_atom_site_type_symbol
_atom_site_fract_x
_atom_site_fract_y
_atom_site_fract_z
Ac1 Ac 0.250 0.250 0.173
In1 In 0.250 0.750 0.500
Hg1 Hg 0.250 0.250 0.675
Se1 Se 0.250 0.750 0.000
```

=====

AcSmInHg | PBE | relaxed

Formation energy ... -0.456 eV/atom

Structure (CIF):
```
data_AcSmInHg
_cell_length_a 3.923
_cell_length_b 3.923
_cell_length_c 7.984
_cell_angle_alpha 90.00
_cell_angle_beta 90.00
_cell_angle_gamma 90.00
_symmetry_space_group_name_H-M 'P 4 m m'
_symmetry_Int_Tables_number 99
loop_
_symmetry_equiv_pos_as_xyz
'x,y,z'
'-y,x,z'
'-x,-y,z'
'y,-x,z'
'-x,y,z'
'y,x,z'
'x,-y,z'
'-y,-x,z'
loop_
_atom_site_label
_atom_site_type_symbol
_atom_site_fract_x
_atom_site_fract_y
_atom_site_fract_z
Ac1 Ac 0.000 0.000 0.000
Sm1 Sm 0.000 0.000 0.491
In1 In 0.500 0.500 0.724
Hg1 Hg 0.500 0.500 0.279
```

=====

AcSm2In2Hg2 | PBE | relaxed

Formation energy ... -0.338 eV/atom

Structure (CIF):
```
data_AcSm2In2Hg2
_cell_length_a 5.0232
_cell_length_b 5.0232
_cell_length_c 28.5314
_cell_angle_alpha 90.00
_cell_angle_beta 90.00
_cell_angle_gamma 120.00
_symmetry_space_group_name_H-M 'R -3 m'
_symmetry_Int_Tables_number 166
_symmetry_space_group_name_Hall '-R 3 2"'
loop_
_atom_site_label
_atom_site_type_symbol
_atom_site_fract_x
_atom_site_fract_y
_atom_site_fract_z
Ac1 Ac 0.0000 0.0000 0.0000
Sm1 Sm 0.0000 0.0000 0.1336
In1 In 0.0000 0.0000 0.2616
Hg1 Hg 0.0000 0.0000 0.4301
```

=====

AcSmInHg | PBE | relaxed

Formation energy ... -0.425 eV/atom

Structure (CIF):
```
data_AcSmInHg
_cell_length_a 7.931
_cell_length_b 7.931
_cell_length_c 7.931
_cell_angle_alpha 90.00
_cell_angle_beta 90.00
_cell_angle_gamma 90.00
_symmetry_space_group_name_H-M 'F -4 3 m'
_symmetry_Int_Tables_number 216
_symmetry_space_group_name_Hall 'F -4 2 3'
loop_
_atom_site_label
_atom_site_type_symbol
_atom_site_fract_x
_atom_site_fract_y
_atom_site_fract_z
Ac1 Ac 0.000 0.000 0.000
Sm1 Sm 0.000 0.000 0.500
In1 In 0.250 0.250 0.250
Hg1 Hg 0.250 0.250 0.750
```

=====

Ac2InSn3Hg6 | PBE | relaxed

Formation energy ... -0.041 eV/atom

Structure (CIF):
```
data_Ac2InSn3Hg6
_cell_length_a 4.490
_cell_length_b 4.490
_cell_length_c 20.096
_cell_angle_alpha 90.00
_cell_angle_beta 90.00
_cell_angle_gamma 90.00
_symmetry_space_group_name_H-M 'P 4/m m m'
_symmetry_Int_Tables_number 123
_symmetry_space_group_name_Hall '-P 4 2'
loop_
_atom_site_label
_atom_site_type_symbol
_atom_site_fract_x
_atom_site_fract_y
_atom_site_fract_z
Ac1 Ac 0.000 0.000 0.228
In1 In 0.000 0.000 0.500
Sn1 Sn 0.500 0.500 0.000
Sn2 Sn 0.500 0.500 0.288
Hg1 Hg 0.000 0.500 0.395
Hg2 Hg 0.500 0.500 0.139
```

=====

AcInSnHg2 | PBE | relaxed

Formation energy ... -0.350 eV/atom

Structure (CIF):
```
data_AcInSnHg2
_cell_length_a 5.121
_cell_length_b 15.591
_cell_length_c 7.086
_cell_angle_alpha 90.00
_cell_angle_beta 90.00
_cell_angle_gamma 90.00
_symmetry_space_group_name_H-M 'C m c m'
_symmetry_Int_Tables_number 63
_symmetry_space_group_name_Hall '-C 2c 2'
loop_
_atom_site_label
_atom_site_type_symbol
_atom_site_fract_x
_atom_site_fract_y
_atom_site_fract_z
Ac1 Ac 0.000 0.098 0.250
In1 In 0.000 0.129 0.750
Sn1 Sn 0.000 0.500 0.000
Hg1 Hg 0.000 0.302 0.015
```

=====

Ac2InSnHg6 | PBE | relaxed

Formation energy ... -0.180 eV/atom

Structure (CIF):
```
data_Ac2InSnHg6
_cell_length_a 6.138
_cell_length_b 9.197
_cell_length_c 10.597
_cell_angle_alpha 90.00
_cell_angle_beta 90.00
_cell_angle_gamma 90.00
_symmetry_space_group_name_H-M 'P m m n'
_symmetry_Int_Tables_number 59
loop_
_symmetry_equiv_pos_as_xyz
'x,y,z'
'-x,-y,-z'
'-x+1/2,-y+1/2,z'
'x+1/2,y+1/2,-z'
'x+1/2,-y,-z'
'-x+1/2,y,z'
'-x,y+1/2,-z'
'x,-y+1/2,z'
loop_
_atom_site_label
_atom_site_type_symbol
_atom_site_fract_x
_atom_site_fract_y
_atom_site_fract_z
Ac1 Ac 0.250 0.004 0.245
In1 In 0.250 0.250 0.769
Sn1 Sn 0.250 0.750 0.777
Hg1 Hg 0.001 0.250 0.994
Hg2 Hg 0.003 0.750 0.494
Hg3 Hg 0.250 0.502 0.605
```

=====

Ac4InSnHg2 | PBE | relaxed

Formation energy ... -0.506 eV/atom

Structure (CIF):
```
data_Ac4InSnHg2
_cell_length_a 5.7681
_cell_length_b 5.7681
_cell_length_c 28.3307
_cell_angle_alpha 90.00
_cell_angle_beta 90.00
_cell_angle_gamma 120.00
_symmetry_space_group_name_H-M 'R -3 m'
_symmetry_Int_Tables_number 166
_symmetry_space_group_name_Hall '-R 3 2"'
loop_
_atom_site_label
_atom_site_type_symbol
_atom_site_fract_x
_atom_site_fract_y
_atom_site_fract_z
Ac1 Ac 0.0000 0.0000 0.1233
Ac2 Ac 0.0000 0.0000 0.3739
In1 In 0.0000 0.0000 0.5000
Sn1 Sn 0.0000 0.0000 0.0000
Hg1 Hg 0.0000 0.0000 0.2449
```

=====

AcTbInHg | PBE | relaxed

Formation energy ... -0.414 eV/atom

Structure (CIF):
```
data_AcTbInHg
_cell_length_a 7.885
_cell_length_b 7.885
_cell_length_c 7.885
_cell_angle_alpha 90.00
_cell_angle_beta 90.00
_cell_angle_gamma 90.00
_symmetry_space_group_name_H-M 'F -4 3 m'
_symmetry_Int_Tables_number 216
_symmetry_space_group_name_Hall 'F -4 2 3'
loop_
_atom_site_label
_atom_site_type_symbol
_atom_site_fract_x
_atom_site_fract_y
_atom_site_fract_z
Ac1 Ac 0.000 0.000 0.000
Tb1 Tb 0.000 0.000 0.500
In1 In 0.250 0.250 0.250
Hg1 Hg 0.250 0.250 0.750
```